# 1
Computed, not measured: TlCdSi2 after structural relaxation at the PBE-GGA level of DFT.

## Properties
Energy above the most stable polymorph in this dataset   365 meV per atom
Final energy   -2.95 eV per atom
ΔE_f (raw)   0.5824 eV per atom

Structure (POSCAR):
```
TlCdSi2
1.0
0.000 3.501 3.501
3.501 0.000 3.501
3.501 3.501 0.000
Tl Cd Si
1 1 2
Cartesian
0.000 0.000 0.000
1.751 1.751 1.751
3.501 3.501 3.501
5.252 5.252 5.252
```

***

# 2
Computed, not measured: TlCd2Si after structural relaxation at the PBE-GGA level of DFT.

## Properties
Energy above the most stable polymorph in this dataset   0 meV per atom
Final energy   -2.13 eV per atom
ΔE_f (raw)   0.2787 eV per atom

Structure (POSCAR):
```
TlCd2Si
1.0
-1.744 2.165 6.581
1.744 -2.165 6.581
1.744 2.165 -6.581
Tl Cd Si
1 2 1
Cartesian
0.000 0.000 0.000
1.744 0.000 4.036
0.000 0.000 8.199
0.000 2.165 3.898
```

***

# 3
Computed, not measured: TlCd2Si after structural relaxation at the PBE-GGA level of DFT.

## Properties
Energy above the most stable polymorph in this dataset   71 meV per atom
Final energy   -2.05 eV per atom
ΔE_f (raw)   0.3500 eV per atom

Structure (POSCAR):
```
TlCd2Si
1.0
3.056 0.000 0.000
0.000 5.489 0.000
0.000 0.000 5.580
Tl Cd Si
1 2 1
Cartesian
0.000 0.000 0.000
0.000 2.745 2.790
1.528 0.000 2.790
1.528 2.745 0.000
```

***

# 4
Computed, not measured: Tl2CdSi after structural relaxation at the PBE-GGA level of DFT.

## Properties
Energy above the most stable polymorph in this dataset   69 meV per atom
Final energy   -2.43 eV per atom
ΔE_f (raw)   0.3352 eV per atom

Structure (POSCAR):
```
Tl2CdSi
1.0
-4.612 4.612 2.688
4.612 -4.612 2.688
4.612 4.612 -2.688
Tl Cd Si
4 2 2
Cartesian
6.917 1.520 -0.672
1.520 2.306 0.672
-2.306 3.091 2.016
3.091 2.306 3.360
4.612 0.000 1.344
0.000 0.000 2.688
0.000 0.000 0.000
0.000 4.612 1.344
```

***

# 5
Computed, not measured: TlCd2Si after structural relaxation at the PBE-GGA level of DFT.

## Properties
Energy above the most stable polymorph in this dataset   67 meV per atom
Final energy   -2.06 eV per atom
ΔE_f (raw)   0.3461 eV per atom

Structure (POSCAR):
```
TlCd2Si
1.0
3.243 -4.553 0.000
3.243 4.553 0.000
0.000 0.000 3.141
Tl Cd Si
1 2 1
Cartesian
0.000 0.000 0.000
1.621 2.277 1.570
1.621 -2.277 1.570
3.243 0.000 0.000
```

***

# 6
Computed, not measured: TlCd2Si after structural relaxation at the PBE-GGA level of DFT.

## Properties
Energy above the most stable polymorph in this dataset   4 meV per atom
Final energy   -2.12 eV per atom
ΔE_f (raw)   0.2827 eV per atom

Structure (POSCAR):
```
TlCd2Si
1.0
1.782 1.029 8.640
-1.782 1.029 8.640
0.000 -2.058 8.640
Tl Cd Si
1 2 1
Cartesian
0.000 0.000 0.000
0.000 0.000 6.205
0.000 0.000 19.714
0.000 0.000 12.959
```

***

# 7
Computed, not measured: Tl2CdSi after structural relaxation at the PBE-GGA level of DFT.

## Properties
Energy above the most stable polymorph in this dataset   32 meV per atom
Final energy   -2.47 eV per atom
ΔE_f (raw)   0.2979 eV per atom

Structure (POSCAR):
```
Tl2CdSi
1.0
3.215 0.000 0.000
0.000 4.429 0.000
-1.586 0.000 7.552
Tl Cd Si
2 1 1
Cartesian
0.000 0.000 0.000
-0.002 2.215 5.061
1.606 2.215 1.826
1.632 0.000 3.312
```

***

# 8
Computed, not measured: TlCdSi2 after structural relaxation at the PBE-GGA level of DFT.

## Properties
Energy above the most stable polymorph in this dataset   123 meV per atom
Final energy   -3.19 eV per atom
ΔE_f (raw)   0.3402 eV per atom

Structure (POSCAR):
```
TlCdSi2
1.0
3.409 0.000 0.000
0.000 3.409 0.000
0.000 0.000 7.706
Tl Cd Si
1 1 2
Cartesian
0.000 0.000 0.000
1.704 1.704 2.375
0.000 0.000 4.534
1.704 1.704 5.165
```

***

> What is the formula in the first record?

TlCdSi2